# 1
First-principles (PBEsol) data for a relaxed structure of NdPd2Pb, as listed in the Alexandria database.

Results
- Energy: -23.6 eV/f.u.
- Crystal system: cubic

Lattice parameters (Å, degrees): 4.874 4.874 4.874 60.00 60.00 60.00
Fractional positions:
Pb 0.000 0.000 0.000
Nd 0.500 0.500 0.500
Pd 0.250 0.250 0.250
Pd 0.750 0.750 0.750



# 2
First-principles (PBEsol) data for a relaxed structure of LaZnBAu2, as listed in the Alexandria database.

Results
- Energy: -17.2 eV/f.u.
- Crystal system: tetragonal

Lattice parameters (Å, degrees): 4.653 4.653 5.538 90.00 90.00 90.00
Fractional positions:
Zn 0.000 0.000 0.000
B 0.500 0.500 0.500
Au 0.000 0.500 0.000
Au 0.500 0.000 0.000
La 0.000 0.000 0.500



Number 1: M_tot 0.000 μB/f.u., energy of formation -2.53 eV/f.u.. Number 2: M_tot 0.777 μB/f.u., energy of formation 4.62 eV/f.u..